Record 1
Density functional theory data (PBE) for a geometry-optimized Dy2HoRh3 structure.

CIF file:
```
data_Dy2HoRh3
_space_group_name_H-M_alt 'P 4/m m m'
_space_group_IT_number 123
_space_group_name_Hall '-P 4 2'
_cell_length_a 3.421
_cell_length_b 3.421
_cell_length_c 10.256
_cell_angle_alpha 90.00
_cell_angle_beta 90.00
_cell_angle_gamma 90.00
loop_
_atom_site_label
_atom_site_fract_x
_atom_site_fract_y
_atom_site_fract_z
Dy1 0.000 0.000 0.167
Ho1 0.000 0.000 0.500
Rh1 0.500 0.500 0.000
Rh2 0.500 0.500 0.334
```

Computed properties:
The density of states at the Fermi level comes out at 0.5878 states/eV per atom. As for the total moment: 0.00 μB/cell. Its energy relative to the lowest polymorph listed for this composition is 0.31 kJ/mol of atoms. The value obtained for the formation energy is -0.885 eV per atom. The total DFT energy (no corrections) is -41.1 eV for the cell shown.

***

Record 2
Density functional theory data (PBE) for a geometry-optimized DyHoRh structure.

CIF file:
```
data_DyHoRh
_space_group_name_H-M_alt 'P 1 21/c 1'
_space_group_IT_number 14
_cell_length_a 6.907
_cell_length_b 6.440
_cell_length_c 7.577
_cell_angle_alpha 90.00
_cell_angle_beta 90.11
_cell_angle_gamma 90.00
loop_
_space_group_symop_operation_xyz
'x,y,z'
'-x,-y,-z'
'-x,y+1/2,-z+1/2'
'x,-y+1/2,z+1/2'
loop_
_atom_site_label
_atom_site_fract_x
_atom_site_fract_y
_atom_site_fract_z
Dy1 0.078 0.241 0.111
Ho1 0.423 0.740 0.612
Rh1 0.251 0.501 0.352
```

Computed properties:
The density of states at the Fermi level comes out at 0.6435 states/eV per atom. As for the total moment: 0.00 μB/cell. Its energy relative to the lowest polymorph listed for this composition is 7.59 kJ/mol of atoms. The value obtained for the formation energy is -0.577 eV per atom. The total DFT energy (no corrections) is -73.1 eV for the cell shown.

***

Record 3
Density functional theory data (PBE) for a geometry-optimized Dy2HoRh2 structure.

CIF file:
```
data_Dy2HoRh2
_space_group_name_H-M_alt 'C m c m'
_space_group_IT_number 63
_space_group_name_Hall '-C 2c 2'
_cell_length_a 3.773
_cell_length_b 26.328
_cell_length_c 4.619
_cell_angle_alpha 90.00
_cell_angle_beta 90.00
_cell_angle_gamma 90.00
loop_
_atom_site_label
_atom_site_fract_x
_atom_site_fract_y
_atom_site_fract_z
Dy1 0.000 0.052 0.250
Dy2 0.000 0.265 0.750
Ho1 0.000 0.363 0.250
Rh1 0.000 0.160 0.250
Rh2 0.000 0.467 0.250
```

Computed properties:
The density of states at the Fermi level comes out at 0.6756 states/eV per atom. As for the total moment: 0.00 μB/cell. Its energy relative to the lowest polymorph listed for this composition is 1.06 kJ/mol of atoms. The value obtained for the formation energy is -0.627 eV per atom. The total DFT energy (no corrections) is -126.5 eV for the cell shown.

***

Record 4
Density functional theory data (PBE) for a geometry-optimized Dy3HoRh2 structure.

CIF file:
```
data_Dy3HoRh2
_space_group_name_H-M_alt 'C 1 2/m 1'
_space_group_IT_number 12
_cell_length_a 16.048
_cell_length_b 4.246
_cell_length_c 10.649
_cell_angle_alpha 90.00
_cell_angle_beta 116.07
_cell_angle_gamma 90.00
loop_
_space_group_symop_operation_xyz
'x,y,z'
'-x,-y,-z'
'-x,y,-z'
'x,-y,z'
'x+1/2,y+1/2,z'
'-x+1/2,-y+1/2,-z'
'-x+1/2,y+1/2,-z'
'x+1/2,-y+1/2,z'
loop_
_atom_site_label
_atom_site_fract_x
_atom_site_fract_y
_atom_site_fract_z
Dy1 0.054 0.000 0.212
Dy2 0.168 0.500 0.033
Dy3 0.210 0.000 0.592
Ho1 0.073 0.500 0.669
Rh1 0.118 0.500 0.412
Rh2 0.137 0.000 0.848
```

Computed properties:
The density of states at the Fermi level comes out at 0.9059 states/eV per atom. As for the total moment: 0.00 μB/cell. Its energy relative to the lowest polymorph listed for this composition is 7.14 kJ/mol of atoms. The value obtained for the formation energy is -0.588 eV per atom. The total DFT energy (no corrections) is -146.5 eV for the cell shown.

***

Which formula does entry 4 have? Dy3HoRh2